Entry 1:
! GGA-PBE CaLa2ScMn, optimized geometry; values from VASP
! * V: 30.19 Å³ per atom
! * ΔE_f: 0.1543 eV/atom
! * SG: P4/mmm
! * M_tot: 0.01 Bohr magnetons per cell
! * calculated total energy: -5.317 eV per atom
&SYSTEM
  ibrav = 0, nat = 5, ntyp = 4
/
ATOMIC_SPECIES
Sc 44.96 Sc.upf
Ca 40.08 Ca.upf
Mn 54.94 Mn.upf
La 138.91 La.upf
ATOMIC_POSITIONS angstrom
Sc 2.445 -0.262 1.010
Ca 1.649 -3.804 2.018
Mn 0.000 0.000 0.000
La 0.226 -2.386 -1.164
La -1.021 -1.157 2.172
CELL_PARAMETERS angstrom
-2.043 -2.314 4.344
0.452 -4.772 -2.329
4.889 -0.523 2.020

=====

Entry 2:
! GGA-PBE SrCaLa2Mn, optimized geometry; values from VASP
! * V: 36.74 Å³ per atom
! * ΔE_f: 0.1988 eV/atom
! * SG: P4/mmm
! * M_tot: 1.33 Bohr magnetons per cell
! * calculated total energy: -4.343 eV per atom
&SYSTEM
  ibrav = 0, nat = 5, ntyp = 4
/
ATOMIC_SPECIES
Sr 87.62 Sr.upf
Ca 40.08 Ca.upf
Mn 54.94 Mn.upf
La 138.91 La.upf
ATOMIC_POSITIONS angstrom
Sr -1.607 4.010 2.381
Ca 1.645 2.071 1.477
Mn 0.000 0.000 0.000
La -1.790 -0.069 2.090
La -1.462 2.008 -1.186
CELL_PARAMETERS angstrom
-2.925 4.017 -2.373
-3.581 -0.138 4.181
3.291 4.142 2.955

=====

Entry 3:
! GGA-PBE CaLaY2Mn, optimized geometry; values from VASP
! * V: 31.52 Å³ per atom
! * ΔE_f: 0.1649 eV/atom
! * SG: P4/mmm
! * M_tot: 0.28 Bohr magnetons per cell
! * calculated total energy: -5.640 eV per atom
&SYSTEM
  ibrav = 0, nat = 5, ntyp = 4
/
ATOMIC_SPECIES
Y 88.91 Y.upf
Ca 40.08 Ca.upf
Mn 54.94 Mn.upf
La 138.91 La.upf
ATOMIC_POSITIONS angstrom
Y -1.265 -0.606 2.343
Y -2.135 1.524 -0.758
Ca -2.296 3.032 2.726
Mn 0.000 0.000 0.000
La 1.103 2.113 1.142
CELL_PARAMETERS angstrom
-4.269 3.048 -1.517
-2.529 -1.211 4.685
2.206 4.227 2.283

=====

Entry 4:
! GGA-PBE CaLa2YMn, optimized geometry; values from VASP
! * V: 32.16 Å³ per atom
! * ΔE_f: 0.1432 eV/atom
! * SG: P4/mmm
! * M_tot: 0.00 Bohr magnetons per cell
! * calculated total energy: -5.355 eV per atom
&SYSTEM
  ibrav = 0, nat = 5, ntyp = 4
/
ATOMIC_SPECIES
Y 88.91 Y.upf
Ca 40.08 Ca.upf
Mn 54.94 Mn.upf
La 138.91 La.upf
ATOMIC_POSITIONS angstrom
Y 0.000 0.000 2.826
Ca 2.667 2.667 2.826
Mn 0.000 0.000 0.000
La 0.000 2.667 0.000
La 2.667 0.000 0.000
CELL_PARAMETERS angstrom
5.334 0.000 0.000
0.000 5.334 0.000
0.000 0.000 5.653

=====

Entry 5:
! GGA-PBE CaLaMo2, optimized geometry; values from VASP
! * V: 21.80 Å³ per atom
! * ΔE_f: 0.7591 eV/atom
! * SG: I-4m2
! * excess energy over the best structure of this formula in the dataset: 10.293 kcal/mol of atoms
! * M_tot: 0.00 Bohr magnetons per cell
! * calculated total energy: -6.389 eV per atom
&SYSTEM
  ibrav = 0, nat = 4, ntyp = 3
/
ATOMIC_SPECIES
Mo 95.94 Mo.upf
Ca 40.08 Ca.upf
La 138.91 La.upf
ATOMIC_POSITIONS angstrom
Mo 0.000 0.000 0.000
Mo -0.688 -0.466 2.934
Ca -2.705 1.378 1.582
La 0.044 2.690 1.436
CELL_PARAMETERS angstrom
-1.973 4.534 0.084
-3.436 -1.778 3.080
4.766 -0.532 1.206

=====

Entry 6:
! GGA-PBE CaLa2Mo, optimized geometry; values from VASP
! * V: 29.81 Å³ per atom
! * ΔE_f: 0.4751 eV/atom
! * SG: P4mm
! * excess energy over the best structure of this formula in the dataset: 4.267 kcal/mol of atoms
! * M_tot: 0.00 Bohr magnetons per cell
! * calculated total energy: -5.197 eV per atom
&SYSTEM
  ibrav = 0, nat = 4, ntyp = 3
/
ATOMIC_SPECIES
Mo 95.94 Mo.upf
Ca 40.08 Ca.upf
La 138.91 La.upf
ATOMIC_POSITIONS angstrom
Mo 0.000 0.000 4.107
Ca 1.836 1.835 6.100
La 0.000 0.000 0.356
La 1.836 1.835 2.708
CELL_PARAMETERS angstrom
3.671 0.000 0.000
0.000 3.671 0.000
0.000 0.000 8.847

=====

Entry 7:
! GGA-PBE CaLaMo2, optimized geometry; values from VASP
! * V: 27.04 Å³ per atom
! * ΔE_f: 0.4927 eV/atom
! * SG: Cm
! * excess energy over the best structure of this formula in the dataset: 4.149 kcal/mol of atoms
! * M_tot: 0.00 Bohr magnetons per cell
! * calculated total energy: -6.655 eV per atom
&SYSTEM
  ibrav = 0, nat = 4, ntyp = 3
/
ATOMIC_SPECIES
Mo 95.94 Mo.upf
Ca 40.08 Ca.upf
La 138.91 La.upf
ATOMIC_POSITIONS angstrom
Mo -7.363 0.791 1.473
Mo -8.055 -4.112 -1.698
Ca -5.576 -2.673 -1.061
La -1.954 -1.576 -0.797
CELL_PARAMETERS angstrom
-1.298 -2.405 -3.432
-0.945 -4.228 -0.690
-7.833 0.951 1.640

=====

Entry 8:
! GGA-PBE CaLaMo2, optimized geometry; values from VASP
! * V: 21.84 Å³ per atom
! * ΔE_f: 0.8669 eV/atom
! * SG: P4/mmm
! * excess energy over the best structure of this formula in the dataset: 12.777 kcal/mol of atoms
! * M_tot: 0.00 Bohr magnetons per cell
! * calculated total energy: -6.281 eV per atom
&SYSTEM
  ibrav = 0, nat = 4, ntyp = 3
/
ATOMIC_SPECIES
Mo 95.94 Mo.upf
Ca 40.08 Ca.upf
La 138.91 La.upf
ATOMIC_POSITIONS angstrom
Mo 0.000 0.000 0.000
Mo 2.445 -1.011 1.246
Ca 1.319 -2.694 -1.341
La -0.119 -3.064 1.179
CELL_PARAMETERS angstrom
-1.245 -4.747 -1.409
3.883 -0.641 -1.274
1.007 -1.382 3.766

=====

- M_tot of number 8 (CaLaMo2)?
  0.00 Bohr magnetons per cell